## A
DFT (meta-GGA SCAN) results for a PBEsol-optimized structure of La2TlPt.

Geometry as POSCAR:
```
La2TlPt
1.0
-4.436 -1.189 -2.672
-2.370 -4.697 0.742
-4.652 -0.255 2.554
La Pt Tl
2 1 1
Cartesian
-8.593 -4.606 0.468 La
-2.864 -1.535 0.156 La
-5.729 -3.071 0.312 Pt
0.000 0.000 0.000 Tl
```

=====

## B
DFT (meta-GGA SCAN) results for a PBEsol-optimized structure of La2TlPt.

Geometry as POSCAR:
```
La2TlPt
1.0
-1.595 2.389 2.898
-1.914 -0.409 -3.589
-2.460 -7.012 4.427
Tl Pt La
1 1 2
Cartesian
-0.797 1.195 1.449 Tl
-1.230 -3.506 2.214 Pt
-3.807 -3.378 3.563 La
-2.162 -1.654 0.173 La
```

=====

In meV per atom, relative to the most stable structure: A 96; B 0.

=====

## A
DFT (meta-GGA SCAN) results for a PBEsol-optimized structure of BaSr2.

Geometry as POSCAR:
```
BaSr2
1.0
7.882 0.000 0.000
3.941 6.826 0.000
3.941 2.275 6.435
Sr Ba
4 2
Cartesian
1.970 1.138 0.804 Sr
3.941 4.550 0.804 Sr
5.911 1.138 0.804 Sr
3.941 2.275 4.022 Sr
7.882 4.550 3.218 Ba
11.823 6.826 4.827 Ba
```

=====

## B
DFT (meta-GGA SCAN) results for a PBEsol-optimized structure of BaSr2.

Geometry as POSCAR:
```
BaSr2
1.0
-3.349 2.556 -0.297
-0.093 -2.716 7.716
6.128 8.043 0.112
Sr Ba
4 2
Cartesian
1.063 5.120 2.044 Sr
4.191 6.035 4.687 Sr
-1.505 1.848 2.844 Sr
1.623 2.763 5.487 Sr
-2.145 1.492 7.009 Ba
4.831 6.391 0.522 Ba
```

=====

In meV per atom, relative to the most stable structure: A 78; B 0.

=====

## A
DFT (meta-GGA SCAN) results for a PBEsol-optimized structure of Zr2ScCo.

Geometry as POSCAR:
```
Zr2ScCo
1.0
-0.844 3.057 0.056
-2.845 -0.764 -1.175
-2.624 -0.852 6.906
Sc Co Zr
1 1 2
Cartesian
-3.685 0.549 4.285 Sc
-1.293 -0.420 3.403 Co
-0.025 -0.008 0.067 Zr
-2.622 0.894 1.486 Zr
```

=====

## B
DFT (meta-GGA SCAN) results for a PBEsol-optimized structure of Zr2ScCo.

Geometry as POSCAR:
```
Zr2ScCo
1.0
-2.512 0.253 -1.974
0.509 -2.991 -1.031
-4.385 -2.558 5.253
Co Sc Zr
1 1 2
Cartesian
-1.001 -1.369 -1.502 Co
-3.194 -2.648 1.124 Sc
-3.483 -2.032 4.173 Zr
-0.902 -0.526 1.080 Zr
```

=====

In meV per atom, relative to the most stable structure: A 0; B 75.